# Be2PtAu (PBE-GGA, optimized geometry)
# Volume = 13.59 Å³/atom
# M_tot = 0.00 μB/atom
# Uncorrected energy = -4.155 eV/atom
data_Be2PtAu
_cell_length_a 6.013
_cell_length_b 6.013
_cell_length_c 6.013
_cell_angle_alpha 90.00
_cell_angle_beta 90.00
_cell_angle_gamma 90.00
_space_group_name_H-M_alt 'F -4 3 m'
_space_group_IT_number 216
_space_group_name_Hall 'F -4 2 3'
loop_
_atom_site_label
_atom_site_fract_x
_atom_site_fract_y
_atom_site_fract_z
Be1 0.000 0.000 0.000
Be2 0.250 0.250 0.250
Pt1 0.000 0.000 0.500
Au1 0.250 0.250 0.750

# BePt2Au (PBE-GGA, optimized geometry)
# Volume = 15.06 Å³/atom
# M_tot = 0.00 μB/atom
# Uncorrected energy = -4.782 eV/atom
data_BePt2Au
_cell_length_a 6.222
_cell_length_b 6.222
_cell_length_c 6.222
_cell_angle_alpha 90.00
_cell_angle_beta 90.00
_cell_angle_gamma 90.00
_space_group_name_H-M_alt 'F -4 3 m'
_space_group_IT_number 216
_space_group_name_Hall 'F -4 2 3'
loop_
_atom_site_label
_atom_site_fract_x
_atom_site_fract_y
_atom_site_fract_z
Be1 0.000 0.000 0.000
Pt1 0.000 0.000 0.500
Pt2 0.250 0.250 0.750
Au1 0.250 0.250 0.250

# Be2PtAu3 (PBE-GGA, optimized geometry)
# Volume = 14.22 Å³/atom
# M_tot = 0.00 μB/atom
# Uncorrected energy = -4.156 eV/atom
data_Be2PtAu3
_cell_length_a 2.896
_cell_length_b 2.896
_cell_length_c 10.170
_cell_angle_alpha 90.00
_cell_angle_beta 90.00
_cell_angle_gamma 90.00
_space_group_name_H-M_alt 'P 4 m m'
_space_group_IT_number 99
_space_group_name_Hall 'P 4 -2'
loop_
_atom_site_label
_atom_site_fract_x
_atom_site_fract_y
_atom_site_fract_z
Be1 0.000 0.000 0.000
Be2 0.500 0.500 0.476
Pt1 0.000 0.000 0.357
Au1 0.000 0.000 0.637
Au2 0.500 0.500 0.142
Au3 0.500 0.500 0.856

# Be2Pt2Au (PBE-GGA, optimized geometry)
# Volume = 13.04 Å³/atom
# M_tot = 0.00 μB/atom
# Energy relative to the lowest polymorph listed for this composition = 0 meV per atom
# Uncorrected energy = -5.061 eV/atom
data_Be2Pt2Au
_cell_length_a 6.835
_cell_length_b 6.835
_cell_length_c 2.791
_cell_angle_alpha 90.00
_cell_angle_beta 90.00
_cell_angle_gamma 90.00
_space_group_name_H-M_alt 'P 4/m b m'
_space_group_IT_number 127
_space_group_name_Hall '-P 4 2ab'
loop_
_atom_site_label
_atom_site_fract_x
_atom_site_fract_y
_atom_site_fract_z
Be1 0.138 0.362 0.000
Pt1 0.152 0.652 0.500
Au1 0.000 0.000 0.000